Computed, not measured: Cd3Ag3Sn after structural relaxation at the PBE level of DFT.

Output
Density   8.59 g/cm3
Relative energy among the computed polymorphs   0.0 meV/atom
Total magnetization   0.0 μB/cell
DOS at the Fermi energy   0.269 states/eV/atom
Space group   R-3, No. 148
Energy of formation from the pure elements   0.001 eV/atom

Cell lengths 7.7596, 7.7596, 7.7596 Å; angles 56.22, 56.22, 56.22 degrees
Element x y z (fractional)
Cd (0.0596, 0.5770, 0.2341)
Cd (0.2341, 0.0596, 0.5770)
Cd (0.4230, 0.7659, 0.9404)
Cd (0.5770, 0.2341, 0.0596)
Cd (0.7659, 0.9404, 0.4230)
Cd (0.9404, 0.4230, 0.7659)
Ag (0.2195, 0.6846, 0.4184)
Ag (0.3154, 0.5816, 0.7805)
Ag (0.4184, 0.2195, 0.6846)
Ag (0.5816, 0.7805, 0.3154)
Ag (0.6846, 0.4184, 0.2195)
Ag (0.7805, 0.3154, 0.5816)
Sn (0.1597, 0.1597, 0.1597)
Sn (0.8403, 0.8403, 0.8403)